Record 1
Below is BaLaCu2Ge after structural relaxation, with properties calculated at the PBE level.

Values from the calculation:
The value obtained for the formation energy from the elements is 0.2831 eV/atom. The calculation puts the magnetic moment at 0.0000 μB per atom.

Cell lengths 5.415, 5.415, 5.647 Å; angles 90.00, 90.00, 90.00 degrees
Space group P4/mmm (No. 123)
One atom of each set of equivalent atoms:
Ba  0.000  0.000  0.000 x1
La  0.500  0.500  0.500 x1
Cu  0.000  0.500  0.500 x2
Ge  0.500  0.500  0.000 x1

Record 2
Below is BaLa2Cu2Ge2 after structural relaxation, with properties calculated at the PBE level.

Values from the calculation:
The value obtained for the formation energy from the elements is -0.4509 eV/atom. The calculation puts the magnetic moment at 0.0000 μB per atom.

Cell lengths 4.5007, 4.5007, 30.0689 Å; angles 90.00, 90.00, 120.00 degrees
Space group R-3m (No. 166, hexagonal axes)
One atom of each set of equivalent atoms:
Ba  0.0000  0.0000  0.0000 x3
La  0.0000  0.0000  0.1359 x6
Cu  0.0000  0.0000  0.4179 x6
Ge  0.0000  0.0000  0.2532 x6

Record 3
Below is BaLi2CuGe after structural relaxation, with properties calculated at the PBE level.

Values from the calculation:
As for the energy above the lowest structure with this stoichiometry: 0.080 eV/f.u. The value obtained for the formation energy from the elements is -0.1465 eV/atom. The calculation puts the magnetic moment at 0.0846 μB per atom.

Cell lengths 5.023, 5.023, 4.623 Å; angles 90.00, 90.00, 90.00 degrees
Space group P4/mmm (No. 123)
One atom of each set of equivalent atoms:
Ba  0.000  0.000  0.000 x1
Li  0.000  0.500  0.500 x2
Cu  0.500  0.500  0.500 x1
Ge  0.500  0.500  0.000 x1

Record 4
Below is BaLi2CuGe after structural relaxation, with properties calculated at the PBE level.

Values from the calculation:
As for the energy above the lowest structure with this stoichiometry: 0.000 eV/f.u. The value obtained for the formation energy from the elements is -0.1624 eV/atom. The calculation puts the magnetic moment at 0.0001 μB per atom.

Cell lengths 4.982, 4.982, 4.724 Å; angles 90.00, 90.00, 90.00 degrees
Space group P4/mmm (No. 123)
One atom of each set of equivalent atoms:
Ba  0.000  0.000  0.000 x1
Li  0.000  0.500  0.500 x2
Cu  0.500  0.500  0.000 x1
Ge  0.500  0.500  0.500 x1

Record 5
Below is Ba2CuGeMo after structural relaxation, with properties calculated at the PBE level.

Values from the calculation:
The value obtained for the formation energy from the elements is 0.6692 eV/atom. The calculation puts the magnetic moment at 0.9655 μB per atom.

Cell lengths 6.186, 6.186, 4.495 Å; angles 90.00, 90.00, 90.00 degrees
Space group P4/mmm (No. 123)
One atom of each set of equivalent atoms:
Ba  0.000  0.500  0.000 x2
Cu  0.000  0.000  0.000 x1
Ge  0.000  0.000  0.500 x1
Mo  0.500  0.500  0.500 x1

Record 6
Below is BaCu2GeN after structural relaxation, with properties calculated at the PBE level.

Values from the calculation:
As for the uncorrected formation energy: -3.92 kJ/mol of atoms. The calculation puts the magnetic moment at 0.0001 μB per atom.

Cell lengths 4.142, 11.883, 7.196 Å; angles 90.00, 90.00, 90.00 degrees
Space group Cmcm (No. 63)
One atom of each set of equivalent atoms:
Ba  0.000  0.051  0.250 x4
Cu  0.000  0.345  0.066 x8
Ge  0.000  0.227  0.750 x4
N  0.000  0.500  0.000 x4

Record 7
Below is Ba2NaCuGe after structural relaxation, with properties calculated at the PBE level.

Values from the calculation:
The value obtained for the formation energy from the elements is -0.1487 eV/atom. The calculation puts the magnetic moment at 0.0000 μB per atom.

Cell lengths 6.356, 6.356, 4.558 Å; angles 90.00, 90.00, 90.00 degrees
Space group P4/mmm (No. 123)
One atom of each set of equivalent atoms:
Ba  0.000  0.500  0.000 x2
Na  0.000  0.000  0.500 x1
Cu  0.500  0.500  0.000 x1
Ge  0.500  0.500  0.500 x1

Record 8
Below is BaNd2Cu2Ge2 after structural relaxation, with properties calculated at the PBE level.

Values from the calculation:
The value obtained for the formation energy from the elements is -0.4342 eV/atom. The calculation puts the magnetic moment at 0.0000 μB per atom.

Cell lengths 4.4900, 4.4900, 30.5059 Å; angles 90.00, 90.00, 120.00 degrees
Space group R-3m (No. 166, hexagonal axes)
One atom of each set of equivalent atoms:
Ba  0.0000  0.0000  0.0000 x3
Nd  0.0000  0.0000  0.1295 x6
Cu  0.0000  0.0000  0.4134 x6
Ge  0.0000  0.0000  0.2523 x6

Calculated values (Mg/m³) of theoretical density for the records, taken in order: 4.77 6.49 4.09 4.07 4.89 6.58 3.91 6.53.